DFT (PBE) results for BaSrLiCa after structural relaxation.

The calculated volume comes out at 745.8 Å³ per cell. The calculation puts the relative energy among the computed polymorphs at 50 meV per atom. As for the formation energy: 0.08 eV/atom.

```
data_BaSrLiCa
_space_group_name_H-M_alt 'F -4 3 m'
_space_group_IT_number 216
_space_group_name_Hall 'F -4 2 3'
_cell_length_a 9.068
_cell_length_b 9.068
_cell_length_c 9.068
_cell_angle_alpha 90.00
_cell_angle_beta 90.00
_cell_angle_gamma 90.00
loop_
_atom_site_label
_atom_site_type_symbol
_atom_site_fract_x
_atom_site_fract_y
_atom_site_fract_z
_atom_site_occupancy
Ba1 Ba 0.000 0.000 0.000 1
Sr1 Sr 0.000 0.000 0.500 1
Li1 Li 0.250 0.250 0.250 1
Ca1 Ca 0.250 0.250 0.750 1
```